Record 1
Material: BaCrPCl2
Method: DFT, PBE-GGA
State: optimized geometry

extended XYZ file:
```
5
Lattice="5.0090 0.0000 0.0000 0.0000 5.0090 0.0000 0.0000 0.0000 4.7687" Properties=species:S:1:pos:R:3 pbc="T T T"
Ba 0.0000 0.0000 0.0000
Cr 2.5045 2.5045 2.3843
P 2.5045 2.5045 0.0000
Cl 0.0000 2.5045 2.3843
Cl 2.5045 0.0000 2.3843
```

space-group type = P4/mmm
energy relative to the elements, uncorrected = -1.071 eV per atom


Record 2
Material: BaCrP2Cl
Method: DFT, PBE-GGA
State: optimized geometry

extended XYZ file:
```
5
Lattice="4.5431 0.0000 0.0000 0.0000 4.5431 0.0000 0.0000 0.0000 5.5870" Properties=species:S:1:pos:R:3 pbc="T T T"
Ba 0.0000 0.0000 0.0000
Cr 2.2715 2.2715 2.7935
P 0.0000 2.2715 2.7935
P 2.2715 0.0000 2.7935
Cl 2.2715 2.2715 0.0000
```

energy relative to the lowest polymorph listed for this composition = 0 meV per atom
space-group type = P4/mmm
energy relative to the elements, uncorrected = -0.704 eV per atom


Record 3
Material: BaCrP2Cl
Method: DFT, PBE-GGA
State: optimized geometry

extended XYZ file:
```
5
Lattice="6.2185 0.0000 0.0000 0.0000 6.2185 0.0000 0.0000 0.0000 5.7706" Properties=species:S:1:pos:R:3 pbc="T T T"
Ba 0.0000 0.0000 0.0000
Cr 3.1092 3.1092 2.8853
P 0.0000 3.1092 0.0000
P 3.1092 0.0000 0.0000
Cl 0.0000 0.0000 2.8853
```

energy relative to the lowest polymorph listed for this composition = 1567 meV per atom
space-group type = P4/mmm
energy relative to the elements, uncorrected = 0.863 eV per atom


Record 4
Material: Rb2BaCrCl6
Method: DFT, PBE-GGA
State: optimized geometry

extended XYZ file:
```
10
Lattice="-3.8822 3.8914 5.4975 3.8822 -3.8914 5.4975 3.8822 3.8914 -5.4975" Properties=species:S:1:pos:R:3 pbc="T T T"
Rb 0.0000 0.0000 2.7418
Rb 0.0000 0.0000 8.2533
Ba 0.0000 3.8914 0.0000
Cr 3.8822 0.0000 0.0000
Cl 2.1123 1.7692 0.0000
Cl 5.6522 1.7692 0.0000
Cl 3.8822 0.0000 2.5033
Cl 0.0000 3.8914 2.9943
Cl -1.7700 2.1222 5.4975
Cl 1.7700 2.1222 5.4975
```

space-group type = Immm
energy relative to the elements, uncorrected = -1.758 eV per atom


Record 5
Material: RbBa2CrCl8
Method: DFT, PBE-GGA
State: optimized geometry

extended XYZ file:
```
12
Lattice="6.6836 0.0000 0.0000 0.6331 7.4375 0.0000 0.2578 3.4626 8.2327" Properties=species:S:1:pos:R:3 pbc="T T T"
Rb 0.0000 0.0000 0.0000
Ba 3.7854 6.6133 6.0021
Ba 3.7891 4.2867 2.2306
Cr 0.4455 5.4500 4.1163
Cl 0.4184 4.2879 2.0291
Cl 2.0902 6.9005 3.2505
Cl 2.1040 4.0030 4.9424
Cl 3.7889 9.0665 7.7580
Cl 3.7857 1.8336 0.4747
Cl 5.4706 6.8970 3.2902
Cl 5.4844 3.9995 4.9822
Cl 7.1562 6.6121 6.2035
```

space-group type = P-1
energy relative to the elements, uncorrected = -1.956 eV per atom


Record 6
Material: Rb2BaCrCl8
Method: DFT, PBE-GGA
State: optimized geometry

extended XYZ file:
```
12
Lattice="5.7524 0.0000 0.0000 0.0000 9.1038 0.0000 -1.7913 0.0000 7.4774" Properties=species:S:1:pos:R:3 pbc="T T T"
Rb 0.0000 2.1385 0.0000
Rb 0.0000 6.9653 0.0000
Ba 1.9806 4.5519 3.7387
Cr 1.9806 0.0000 3.7387
Cl -1.2452 4.5519 5.5097
Cl 0.0592 0.0000 2.5940
Cl 1.2021 1.6969 5.1901
Cl 1.2021 7.4069 5.1901
Cl 2.7590 1.6969 2.2873
Cl 2.7590 7.4069 2.2873
Cl 3.9020 0.0000 4.8834
Cl 5.2064 4.5519 1.9677
```

space-group type = P2/m
energy relative to the elements, uncorrected = -1.600 eV per atom


Record 7
Material: Rb2BaCrCl
Method: DFT, PBE-GGA
State: optimized geometry

extended XYZ file:
```
5
Lattice="6.1546 0.0000 0.0000 0.0000 6.1546 0.0000 0.0000 0.0000 6.4929" Properties=species:S:1:pos:R:3 pbc="T T T"
Rb 0.0000 3.0773 0.0000
Rb 3.0773 0.0000 0.0000
Ba 0.0000 0.0000 3.2464
Cr 3.0773 3.0773 3.2464
Cl 3.0773 3.0773 0.0000
```

space-group type = P4/mmm
energy relative to the elements, uncorrected = 0.037 eV per atom


Record 8
Material: Ba2CrReCl
Method: DFT, PBE-GGA
State: optimized geometry

extended XYZ file:
```
5
Lattice="6.0926 0.0000 0.0000 0.0000 6.0926 0.0000 0.0000 0.0000 4.3667" Properties=species:S:1:pos:R:3 pbc="T T T"
Ba 0.0000 3.0463 0.0000
Ba 3.0463 0.0000 0.0000
Cr 0.0000 0.0000 2.1834
Re 3.0463 3.0463 2.1834
Cl 3.0463 3.0463 0.0000
```

space-group type = P4/mmm
energy relative to the elements, uncorrected = 0.624 eV per atom


Record 9
Material: BaCrS2Cl
Method: DFT, PBE-GGA
State: optimized geometry

extended XYZ file:
```
5
Lattice="4.8045 0.0000 0.0000 0.0000 4.8045 0.0000 0.0000 0.0000 4.8971" Properties=species:S:1:pos:R:3 pbc="T T T"
Ba 0.0000 0.0000 0.0000
Cr 2.4022 2.4022 2.4485
S 0.0000 2.4022 2.4485
S 2.4022 0.0000 2.4485
Cl 2.4022 2.4022 0.0000
```

energy relative to the lowest polymorph listed for this composition = 0 meV per atom
space-group type = P4/mmm
energy relative to the elements, uncorrected = -1.285 eV per atom


Record 10
Material: BaCrS2Cl
Method: DFT, PBE-GGA
State: optimized geometry

extended XYZ file:
```
5
Lattice="5.9520 0.0000 0.0000 0.0000 5.9520 0.0000 0.0000 0.0000 5.8072" Properties=species:S:1:pos:R:3 pbc="T T T"
Ba 0.0000 0.0000 0.0000
Cr 2.9760 2.9760 2.9036
S 0.0000 2.9760 0.0000
S 2.9760 0.0000 0.0000
Cl 0.0000 0.0000 2.9036
```

energy relative to the lowest polymorph listed for this composition = 1448 meV per atom
space-group type = P4/mmm
energy relative to the elements, uncorrected = 0.163 eV per atom


Record 11
Material: BaCr2SeCl
Method: DFT, PBE-GGA
State: optimized geometry

extended XYZ file:
```
5
Lattice="4.3866 0.0000 0.0000 0.0000 4.3866 0.0000 0.0000 0.0000 6.3340" Properties=species:S:1:pos:R:3 pbc="T T T"
Ba 0.0000 0.0000 0.0000
Cr 0.0000 2.1933 3.1670
Cr 2.1933 0.0000 3.1670
Se 2.1933 2.1933 0.0000
Cl 0.0000 0.0000 3.1670
```

space-group type = P4/mmm
energy relative to the elements, uncorrected = 0.523 eV per atom


Record 12
Material: Ba2CrTeCl
Method: DFT, PBE-GGA
State: optimized geometry

extended XYZ file:
```
5
Lattice="6.6565 0.0000 0.0000 0.0000 6.6565 0.0000 0.0000 0.0000 5.6671" Properties=species:S:1:pos:R:3 pbc="T T T"
Ba 0.0000 3.3283 0.0000
Ba 3.3283 0.0000 0.0000
Cr 0.0000 0.0000 2.8336
Te 3.3283 3.3283 0.0000
Cl 3.3283 3.3283 2.8336
```

space-group type = P4/mmm
energy relative to the elements, uncorrected = -0.104 eV per atom


Record 13
Material: BaTlCrCl2
Method: DFT, PBE-GGA
State: optimized geometry

extended XYZ file:
```
5
Lattice="5.7376 0.0000 0.0000 0.0000 5.7376 0.0000 0.0000 0.0000 6.6300" Properties=species:S:1:pos:R:3 pbc="T T T"
Ba 0.0000 0.0000 0.0000
Tl 0.0000 0.0000 3.3150
Cr 2.8688 2.8688 0.0000
Cl 0.0000 2.8688 3.3150
Cl 2.8688 0.0000 3.3150
```

space-group type = P4/mmm
energy relative to the elements, uncorrected = 0.040 eV per atom


Record 14
Material: BaTl2CrCl6
Method: DFT, PBE-GGA
State: optimized geometry

extended XYZ file:
```
10
Lattice="7.2263 0.0000 0.0000 -0.0047 7.6540 0.0000 -3.2952 -3.6657 5.8753" Properties=species:S:1:pos:R:3 pbc="T T T"
Ba 0.0000 0.0000 0.0000
Tl 0.5797 3.9538 2.6013
Tl 3.3467 0.0345 3.2740
Cr 3.6108 3.8270 0.0000
Cl -1.7434 1.3349 5.5650
Cl 0.2745 -0.6078 2.9782
Cl 2.4013 1.8523 0.6202
Cl 1.5252 2.1360 5.2551
Cl 3.6519 4.5960 2.8971
Cl 5.6698 2.6533 0.3103
```

space-group type = P-1
energy relative to the elements, uncorrected = -1.409 eV per atom


Record 15
Material: BaVCrCl2
Method: DFT, PBE-GGA
State: optimized geometry

extended XYZ file:
```
5
Lattice="5.7708 0.0000 0.0000 0.0000 5.7708 0.0000 0.0000 0.0000 7.1519" Properties=species:S:1:pos:R:3 pbc="T T T"
Ba 0.0000 0.0000 0.0000
V 2.8854 2.8854 3.5760
Cr 0.0000 0.0000 3.5760
Cl 0.0000 2.8854 0.0000
Cl 2.8854 0.0000 0.0000
```

space-group type = P4/mmm
energy relative to the elements, uncorrected = 0.375 eV per atom


Record 16
Material: BaZnCr2Cl8
Method: DFT, PBE-GGA
State: optimized geometry

extended XYZ file:
```
12
Lattice="5.9942 0.0000 0.0000 0.6678 5.9789 0.0000 1.0574 0.6598 9.0422" Properties=species:S:1:pos:R:3 pbc="T T T"
Ba 0.0000 0.0000 0.0000
Zn 0.5287 0.3299 4.5211
Cr 4.0042 3.4162 6.2956
Cr 3.7152 3.2225 2.7466
Cl 2.5738 5.3343 6.3070
Cl 2.2880 5.1455 2.6273
Cl 2.3726 2.2543 4.4492
Cl 3.0602 2.8137 8.3756
Cl 4.6593 3.8251 0.6665
Cl 5.3469 4.3845 4.5930
Cl 5.4314 1.4932 6.4148
Cl 5.1456 1.3044 2.7352
```

space-group type = P-1
energy relative to the elements, uncorrected = -1.289 eV per atom


Record 17
Material: BaZn2CrCl8
Method: DFT, PBE-GGA
State: optimized geometry

extended XYZ file:
```
12
Lattice="3.1210 1.8019 8.8595 -3.1210 1.8019 8.8595 0.0000 -3.6038 8.8595" Properties=species:S:1:pos:R:3 pbc="T T T"
Ba 0.0000 0.0000 0.0000
Zn 0.0000 0.0000 6.4356
Zn 0.0000 0.0000 20.1428
Cr 0.0000 0.0000 13.2892
Cl -2.0235 0.1312 11.8045
Cl -1.1254 -1.6868 14.7739
Cl 0.0000 0.0000 8.7329
Cl 0.8982 -1.8180 11.8045
Cl -0.8982 1.8180 14.7739
Cl 0.0000 0.0000 17.8455
Cl 1.1254 1.6868 11.8045
Cl 2.0235 -0.1312 14.7739
```

space-group type = R-3
energy relative to the elements, uncorrected = -1.360 eV per atom


Record 18
Material: Cs2BaCl4
Method: DFT, PBE-GGA
State: optimized geometry

extended XYZ file:
```
14
Lattice="8.5769 0.0000 0.0000 0.0000 14.2120 0.0000 0.0000 0.0000 4.8640" Properties=species:S:1:pos:R:3 pbc="T T T"
Cs 0.6022 2.5507 0.0000
Cs 3.6862 9.6567 0.0000
Cs 4.8907 4.5553 0.0000
Cs 7.9747 11.6613 0.0000
Ba 0.0000 7.1060 2.4320
Ba 4.2885 0.0000 2.4320
Cl 1.1939 9.9175 2.4320
Cl 1.8887 6.4712 0.0000
Cl 2.3997 13.5772 0.0000
Cl 3.0946 2.8115 2.4320
Cl 5.4823 11.4005 2.4320
Cl 6.1772 0.6348 0.0000
Cl 6.6882 7.7408 0.0000
Cl 7.3830 4.2945 2.4320
```

space-group type = Pbam
energy relative to the elements, uncorrected = -2.212 eV per atom


Record 19
Material: CsBaCl
Method: DFT, PBE-GGA
State: optimized geometry

extended XYZ file:
```
3
Lattice="4.6252 0.0000 0.0000 -2.3126 4.0056 0.0000 0.0000 0.0000 8.6667" Properties=species:S:1:pos:R:3 pbc="T T T"
Cs 0.0000 0.0000 0.0000
Ba 2.3126 1.3352 4.2252
Cl 0.0000 2.6704 6.2916
```

space-group type = P3m1
energy relative to the elements, uncorrected = -1.130 eV per atom


Record 20
Material: Cs2Ba3Cl8
Method: DFT, PBE-GGA
State: optimized geometry

extended XYZ file:
```
13
Lattice="5.7398 -8.3953 0.0000 5.7398 8.3953 0.0000 0.0000 0.0000 5.2678" Properties=species:S:1:pos:R:3 pbc="T T T"
Cs 5.7398 4.3793 0.0000
Cs 5.7398 -4.3793 0.0000
Ba 2.4248 0.0000 2.6339
Ba 5.7398 0.0000 0.0000
Ba 9.0548 0.0000 2.6339
Cl 5.7398 6.5443 2.6339
Cl 3.0667 1.7542 0.0000
Cl 3.0667 -1.7542 0.0000
Cl 5.7398 1.7303 2.6339
Cl 5.7398 -1.7303 2.6339
Cl 8.4129 1.7542 0.0000
Cl 8.4129 -1.7542 0.0000
Cl 5.7398 -6.5443 2.6339
```

space-group type = Cmmm
energy relative to the elements, uncorrected = -2.317 eV per atom


Record 21
Material: CsBa2Cl2
Method: DFT, PBE-GGA
State: optimized geometry

extended XYZ file:
```
5
Lattice="-2.9141 2.9141 7.5476 2.9141 -2.9141 7.5476 2.9141 2.9141 -7.5476" Properties=species:S:1:pos:R:3 pbc="T T T"
Cs 0.0000 0.0000 0.0000
Ba 0.0000 0.0000 5.1571
Ba 0.0000 0.0000 9.9381
Cl 2.9141 0.0000 3.7738
Cl 0.0000 2.9141 3.7738
```

space-group type = I4/mmm
energy relative to the elements, uncorrected = -1.350 eV per atom


Record 22
Material: CsBaCl2
Method: DFT, PBE-GGA
State: optimized geometry

extended XYZ file:
```
4
Lattice="2.2036 1.2723 9.0315 -2.2036 1.2723 9.0315 0.0000 -2.5445 9.0315" Properties=species:S:1:pos:R:3 pbc="T T T"
Cs 0.0000 0.0000 0.0000
Ba 0.0000 0.0000 4.5847
Cl 0.0000 0.0000 15.7543
Cl 0.0000 0.0000 20.4718
```

energy relative to the lowest polymorph listed for this composition = 47 meV per atom
space-group type = R3m
energy relative to the elements, uncorrected = -1.783 eV per atom


Record 23
Material: Cs2BaCl4
Method: DFT, PBE-GGA
State: optimized geometry

extended XYZ file:
```
14
Lattice="-4.9542 4.9542 5.1411 4.9542 -4.9542 5.1411 4.9542 4.9542 -5.1411" Properties=species:S:1:pos:R:3 pbc="T T T"
Cs -1.0774 2.4771 1.2853
Cs 2.4771 3.8768 3.8559
Cs 1.0774 7.4313 1.2853
Cs -2.4771 6.0316 3.8559
Ba 4.9542 0.0000 2.5706
Ba 0.0000 0.0000 5.1411
Cl 3.0826 4.2898 -2.9170
Cl 5.6186 1.8716 -0.3464
Cl 1.8716 0.6644 2.2242
Cl 1.8716 4.2898 0.3464
Cl 5.6186 3.0826 2.9170
Cl 3.0826 0.6644 5.4875
Cl -0.6644 3.0826 4.7948
Cl -0.6644 1.8716 8.0581
```

space-group type = I-42d
energy relative to the elements, uncorrected = -2.181 eV per atom


Record 24
Material: CsBaCl2
Method: DFT, PBE-GGA
State: optimized geometry

extended XYZ file:
```
4
Lattice="2.5269 1.4589 9.5836 -2.5269 1.4589 9.5836 0.0000 -2.9178 9.5836" Properties=species:S:1:pos:R:3 pbc="T T T"
Cs 0.0000 0.0000 0.0000
Ba 0.0000 0.0000 14.3754
Cl 0.0000 0.0000 3.5399
Cl 0.0000 0.0000 25.2108
```

energy relative to the lowest polymorph listed for this composition = 0 meV per atom
space-group type = R-3m
energy relative to the elements, uncorrected = -1.830 eV per atom


Record 25
Material: CsBa2Cl5
Method: DFT, PBE-GGA
State: optimized geometry

extended XYZ file:
```
8
Lattice="-2.3793 3.8579 8.1699 2.3793 -3.8579 8.1699 2.3793 3.8579 -8.1699" Properties=species:S:1:pos:R:3 pbc="T T T"
Cs 0.0000 0.0000 0.0000
Ba 2.3793 0.0000 5.1603
Ba 0.0000 3.8579 3.0095
Cl 2.3793 1.8298 -2.5730
Cl 2.3793 1.8298 2.5730
Cl 0.0000 3.8579 0.0000
Cl 0.0000 2.0281 5.5969
Cl 0.0000 2.0281 10.7428
```

space-group type = Immm
energy relative to the elements, uncorrected = -2.371 eV per atom


Number 1: total moment 0.60 μB/atom. Number 2: total moment 0.44 μB/atom. Number 3: total moment 0.20 μB/atom. Number 4: total moment 0.40 μB/atom. Number 5: total moment 0.25 μB/atom. Number 6: total moment 0.17 μB/atom. Number 7: total moment 1.00 μB/atom. Number 8: total moment 0.99 μB/atom. Number 9: total moment 0.61 μB/atom. Number 10: total moment 0.60 μB/atom. Number 11: total moment 0.08 μB/atom. Number 12: total moment 1.12 μB/atom. Number 13: total moment 1.06 μB/atom. Number 14: total moment 0.40 μB/atom. Number 15: total moment 1.87 μB/atom. Number 16: total moment 0.67 μB/atom. Number 17: total moment 0.33 μB/atom. Number 18: total moment 0.00 μB/atom. Number 19: total moment 0.04 μB/atom. Number 20: total moment 0.00 μB/atom. Number 21: total moment 0.00 μB/atom. Number 22: total moment 0.16 μB/atom. Number 23: total moment 0.00 μB/atom. Number 24: total moment 0.00 μB/atom. Number 25: total moment 0.01 μB/atom.